1.
Computed, not measured: an optimized crystal structure of AcIn3PdRh at the GGA-PBE level of DFT.

Cell: 7.508 7.516 6.748 Å, 123.85 90.00 90.00°
Fractional positions:
Ac 0.750 0.253 0.506
Ac 0.250 0.747 0.494
In 0.250 0.260 0.519
In 0.000 0.250 0.000
In 0.500 0.750 0.000
In 0.500 0.250 0.000
In 0.000 0.750 0.000
In 0.750 0.740 0.481
Pd 0.250 0.026 0.051
Pd 0.750 0.974 0.949
Rh 0.250 0.492 0.984
Rh 0.750 0.508 0.016

Summary:
Its crystal system is orthorhombic. Its space group is Cmcm, No. 63.

=====

2.
Computed, not measured: an optimized crystal structure of AcInPdRh at the GGA-PBE level of DFT.

Cell: 4.648 4.642 5.711 Å, 114.08 90.00 120.05°
Fractional positions:
Ac 0.615 0.230 0.487
In 0.121 0.242 0.005
Pd 0.407 0.814 0.863
Rh 0.823 0.646 0.112

Summary:
Its crystal system is monoclinic. Its space group is Cm, No. 8.

=====

no.,raw total energy (eV/cell),density of states at the Fermi level (states/eV per cell)
1,-54.3,6.75
2,-22.1,2.29